Here is a geometry-optimized HfMoO3 structure from Alexandria. Energies are from PBE+U.

Results
- Calculated total energy: -41.5 eV/f.u.
- Volume: 67 Å³/f.u.
- DOS at the Fermi energy: 1.20 states/eV per atom

The structure in CIF format:
```
data_HfMoO3
_chemical_formula_sum 'Hf1 Mo1 O3'
_space_group_name_H-M_alt 'P m -3 m'
_space_group_IT_number 221
_space_group_name_Hall '-P 4 2 3'
_cell_length_a 4.0692
_cell_length_b 4.0692
_cell_length_c 4.0692
_cell_angle_alpha 90.00
_cell_angle_beta 90.00
_cell_angle_gamma 90.00
loop_
_atom_site_label
_atom_site_fract_x
_atom_site_fract_y
_atom_site_fract_z
Hf1 0.0000 0.0000 0.0000
Mo1 0.5000 0.5000 0.5000
O1 0.0000 0.0000 0.5000
```